Na3Sn3Pb8: relaxed, PBE-GGA.

Output
formation energy from the elements	-37	meV per atom
calculated total energy	-92.3	eV per cell
D(E_F)	9.94	states/eV/cell

Cell: 5.1735 12.5863 13.6700 Å, 90.00 90.00 90.00°
Last column: nearest neighbours and their distance in Å.
Space group Immm (No. 71)
Symmetry-distinct sites (fractional):
Na 0.0000 0.0000 0.0000 (multiplicity 2)  8 Pb 3.50, 2 Na 3.85
Na 0.0000 0.0000 0.2813 (multiplicity 4)  4 Sn 3.54-3.95, 8 Pb 3.73-3.85, 1 Na 3.85
Sn 0.0000 0.1505 0.5000 (multiplicity 4)  2 Sn 3.21, 6 Pb 3.25-3.38, 2 Na 3.54
Sn 0.0000 0.5000 0.0000 (multiplicity 2)  4 Sn 3.21, 4 Pb 3.37
Pb 0.0000 0.2865 0.1485 (multiplicity 8)  3 Pb 3.27-3.28, 3 Sn 3.37-3.38
Pb 0.0000 0.3706 0.3754 (multiplicity 8)  1 Sn 3.25, 5 Pb 3.26-3.41, 2 Na 3.50


Ac6Co3Au2: relaxed, PBE-GGA.

Output
formation energy from the elements	-263	meV per atom
calculated total energy	-110.8	eV per cell
D(E_F)	12.36	states/eV/cell

Cell: 7.3462 12.7125 7.8991 Å, 90.00 107.97 90.00°
Last column: nearest neighbours and their distance in Å.
Space group C2/m (No. 12)
Symmetry-distinct sites (fractional):
Ac 0.2342 0.1696 0.2120 (multiplicity 8)  3 Co 2.89-2.94
Ac 0.2431 0.5000 0.2116 (multiplicity 4)  3 Co 2.88-2.93
Co 0.0000 0.0000 0.0000 (multiplicity 2)  6 Ac 2.88-2.94
Co 0.0000 0.3343 0.0000 (multiplicity 4)  6 Ac 2.89-2.94
Au 0.0000 0.1665 0.5000 (multiplicity 4)  6 Ac 3.25


PmSc2SeO8: relaxed, PBE-GGA.

Output
E_form (uncorrected)	-2.229	eV per atom
calculated total energy	-174.6	eV per cell
D(E_F)	7.10	states/eV/cell

Cell: 6.6731 6.7433 6.6881 Å, 90.00 90.00 90.00°
Last column: nearest neighbours and their distance in Å.
Space group Cmmm (No. 65)
Symmetry-distinct sites (fractional):
Pm 0.0000 0.0000 0.0000 (multiplicity 2)  6 O 2.23-2.38
Sc 0.0000 0.5000 0.2660 (multiplicity 4)  6 O 2.10-2.18
Se 0.0000 0.0000 0.5000 (multiplicity 2)  6 O 1.82-1.86
O 0.0000 0.2753 0.5000 (multiplicity 4)  1 Se 1.86
O 0.0000 0.3312 0.0000 (multiplicity 4)  2 Sc 2.11, 1 Pm 2.23, 1 O 2.28
O 0.1868 0.0000 0.3023 (multiplicity 8)  1 Se 1.82


TmThGa6: relaxed, PBE-GGA.

Output
formation energy from the elements	-497	meV per atom
calculated total energy	-34.0	eV per cell
D(E_F)	2.68	states/eV/cell

Cell: 4.3415 4.3415 8.6441 Å, 90.00 90.00 90.00°
Last column: nearest neighbours and their distance in Å.
Space group P4/mmm (No. 123)
Symmetry-distinct sites (fractional):
Tm 0.0000 0.0000 0.0000 (multiplicity 1)  12 Ga 3.00-3.07
Th 0.0000 0.0000 0.5000 (multiplicity 1)  12 Ga 3.07-3.13
Ga 0.0000 0.5000 0.2398 (multiplicity 4)  2 Tm 3.00, 8 Ga 3.00-3.13, 2 Th 3.13
Ga 0.5000 0.5000 0.0000 (multiplicity 1)  8 Ga 3.00, 4 Tm 3.07
Ga 0.5000 0.5000 0.5000 (multiplicity 1)  4 Th 3.07, 8 Ga 3.13


ZrBiPt: relaxed, PBE-GGA.

Output
formation energy from the elements	-646	meV per atom
calculated total energy	-81.6	eV per cell
D(E_F)	8.29	states/eV/cell

Cell: 3.5382 3.5382 23.5193 Å, 90.00 90.00 90.00°
Last column: nearest neighbours and their distance in Å.
Space group I4/mmm (No. 139)
Symmetry-distinct sites (fractional):
Zr 0.0000 0.0000 0.1629 (multiplicity 4)  5 Pt 2.80-2.84
Bi 0.0000 0.0000 0.4250 (multiplicity 4)  4 Zr 3.25, 1 Pt 3.32, 5 Bi 3.53-3.54
Pt 0.0000 0.0000 0.2838 (multiplicity 4)  5 Zr 2.80-2.84, 4 Pt 2.96